Material: Ta2V4Si
Method: DFT, PBE
State: optimized geometry

abc: 4.3593 4.3593 7.0785
angles: 72.07 72.07 90.00
Element x y z (fractional)
1 V 0.1836 0.1836 0.6328
2 V 0.0000 0.5000 0.0000
3 V 0.5000 0.0000 0.0000
4 V 0.8164 0.8164 0.3672
5 Ta 0.3769 0.3769 0.2461
6 Ta 0.6231 0.6231 0.7539
7 Si 0.0000 0.0000 0.0000

Results
magnetic moment = 0.000 μB/atom
formation energy (no corrections) = 832 meV/atom
density = 8.1 g/cm3
space-group type = I4/mmm, No. 139

=====

Material: Ta2VSi6
Method: DFT, PBE
State: optimized geometry

abc: 4.7079 4.7515 6.5324
angles: 90.00 90.00 119.70
Element x y z (fractional)
1 Si 0.3218 0.1549 0.6737
2 Si 0.8331 0.1549 0.3263
3 Si 0.8411 0.6822 0.0000
4 Si 0.6782 0.8451 0.6737
5 Si 0.1669 0.8451 0.3263
6 Si 0.1589 0.3178 0.0000
7 V 0.5000 0.0000 0.0000
8 Ta 0.5000 0.5000 0.3361
9 Ta 0.0000 0.5000 0.6639

Results
magnetic moment = 0.000 μB/atom
formation energy (no corrections) = -464 meV/atom
density = 7.6 g/cm3
space-group type = C222, No. 21

=====

Material: Ta5V5Si6
Method: DFT, PBE
State: optimized geometry

abc: 4.9588 7.3139 7.3139
angles: 118.95 90.00 90.00
Element x y z (fractional)
1 Ta 0.0000 0.9972 0.7535
2 Ta 0.0000 0.7535 0.9972
3 Ta 0.5000 0.7547 0.7547
4 Ta 0.5000 0.0028 0.2310
5 Ta 0.5000 0.2310 0.0028
6 Si 0.0000 0.3975 0.0065
7 Si 0.5000 0.5928 0.0008
8 Si 0.5000 0.0008 0.5928
9 Si 0.0000 0.0065 0.3975
10 Si 0.0000 0.5921 0.5921
11 Si 0.5000 0.4055 0.4055
12 V 0.2483 0.6695 0.3333
13 V 0.2483 0.3333 0.6695
14 V 0.7517 0.6695 0.3333
15 V 0.0000 0.2601 0.2601
16 V 0.7517 0.3333 0.6695

Results
magnetic moment = 0.000 μB/atom
formation energy (no corrections) = -605 meV/atom
density = 9.5 g/cm3
space-group type = Amm2, No. 38

=====

Material: Ta3V5Si2
Method: DFT, PBE
State: optimized geometry

abc: 5.2406 8.3589 8.3589
angles: 69.55 71.73 71.73
Element x y z (fractional)
1 V 0.7500 0.5000 0.5000
2 V 0.2500 0.5000 0.5000
3 V 0.9516 0.7984 0.7984
4 V 0.5484 0.2016 0.2016
5 V 0.3500 0.7063 0.5937
6 V 0.8500 0.5937 0.7063
7 V 0.0484 0.2016 0.2016
8 V 0.6500 0.2937 0.4063
9 V 0.1500 0.4063 0.2937
10 V 0.4516 0.7984 0.7984
11 Ta 0.6699 0.5634 0.0967
12 Ta 0.1699 0.0967 0.5634
13 Ta 0.2500 0.0000 0.0000
14 Ta 0.8301 0.9033 0.4366
15 Ta 0.3301 0.4366 0.9033
16 Ta 0.7500 0.0000 0.0000
17 Si 0.1080 0.6914 0.0925
18 Si 0.3920 0.9075 0.3086
19 Si 0.6080 0.0925 0.6914
20 Si 0.8920 0.3086 0.9075

Results
magnetic moment = 0.000 μB/atom
formation energy (no corrections) = 95 meV/atom
density = 8.9 g/cm3
space-group type = Ibam, No. 72

=====

Material: TaVSi
Method: DFT, PBE
State: optimized geometry

abc: 2.7243 5.0211 7.6770
angles: 108.35 90.00 105.74
Element x y z (fractional)
1 Ta 0.8369 0.6738 0.3594
2 Ta 0.1631 0.3262 0.6406
3 Si 0.9148 0.8297 0.7108
4 Si 0.0852 0.1703 0.2892
5 V 0.1332 0.2664 0.9964
6 V 0.8668 0.7336 0.0036

Results
magnetic moment = 0.000 μB/atom
formation energy (no corrections) = 15 meV/atom
density = 9.0 g/cm3
space-group type = C2/m, No. 12

=====

Material: Ta4VSi3
Method: DFT, PBE
State: optimized geometry

abc: 4.9643 7.4633 7.4633
angles: 83.65 70.57 70.57
Element x y z (fractional)
1 Ta 0.2202 0.7016 0.8580
2 Ta 0.4218 0.2984 0.8580
3 Ta 0.7798 0.2984 0.1420
4 Ta 0.2798 0.1420 0.2984
5 Ta 0.9218 0.8580 0.2984
6 Ta 0.5782 0.7016 0.1420
7 Ta 0.7202 0.8580 0.7016
8 Ta 0.0782 0.1420 0.7016
9 Si 0.8419 0.5000 0.8161
10 Si 0.3419 0.8161 0.5000
11 Si 0.6581 0.1839 0.5000
12 Si 0.7500 0.0000 0.0000
13 Si 0.1581 0.5000 0.1839
14 Si 0.2500 0.0000 0.0000
15 V 0.2500 0.5000 0.5000
16 V 0.7500 0.5000 0.5000

Results
magnetic moment = 0.000 μB/atom
formation energy (no corrections) = -599 meV/atom
density = 11.6 g/cm3
space-group type = I4/mcm, No. 140

=====

Material: Ta2VSi
Method: DFT, PBE
State: optimized geometry

abc: 7.0980 7.0980 5.7034
angles: 51.52 51.52 90.00
Element x y z (fractional)
1 Si 0.5000 0.5000 0.0000
2 Si 0.2500 0.7500 0.5000
3 Ta 0.3750 0.3868 0.7500
4 Ta 0.8750 0.8632 0.7500
5 Ta 0.6132 0.1250 0.2500
6 Ta 0.1368 0.6250 0.2500
7 V 0.7500 0.2500 0.5000
8 V 0.0000 0.0000 0.0000

Results
magnetic moment = 0.000 μB/atom
formation energy (no corrections) = 458 meV/atom
density = 10.7 g/cm3
space-group type = I-42d, No. 122

=====

Material: Ta4V2Si5
Method: DFT, PBE
State: optimized geometry

abc: 4.9910 7.8688 9.4496
angles: 114.60 105.31 90.00
Element x y z (fractional)
1 Si 0.0677 0.4833 0.1355
2 Si 0.9323 0.5167 0.8645
3 Si 0.7174 0.4229 0.4348
4 Si 0.2174 0.0119 0.4348
5 Si 0.5677 0.6522 0.1355
6 Si 0.4323 0.3478 0.8645
7 Si 0.7826 0.9881 0.5652
8 Si 0.2500 0.0000 0.0000
9 Si 0.2826 0.5771 0.5652
10 Si 0.7500 0.0000 0.0000
11 V 0.9416 0.6916 0.3831
12 V 0.0584 0.3084 0.6169
13 V 0.4416 0.6916 0.3831
14 V 0.5584 0.3084 0.6169
15 Ta 0.3560 0.9683 0.7120
16 Ta 0.4355 0.6811 0.8711
17 Ta 0.5645 0.3189 0.1289
18 Ta 0.0645 0.8101 0.1289
19 Ta 0.1440 0.2563 0.2880
20 Ta 0.6440 0.0317 0.2880
21 Ta 0.9355 0.1899 0.8711
22 Ta 0.8560 0.7437 0.7120

Results
magnetic moment = 0.000 μB/atom
formation energy (no corrections) = -579 meV/atom
density = 9.9 g/cm3
space-group type = Ibam, No. 72

=====

Material: Ta2VSi4
Method: DFT, PBE
State: optimized geometry

abc: 4.5116 4.5116 7.0419
angles: 71.32 71.32 90.00
Element x y z (fractional)
1 Si 0.8104 0.8104 0.3792
2 Si 0.0000 0.5000 0.0000
3 Si 0.1896 0.1896 0.6208
4 Si 0.5000 0.0000 0.0000
5 V 0.0000 0.0000 0.0000
6 Ta 0.6086 0.6086 0.7828
7 Ta 0.3914 0.3914 0.2172

Results
magnetic moment = 0.000 μB/atom
formation energy (no corrections) = 484 meV/atom
density = 6.8 g/cm3
space-group type = I4/mmm, No. 139

=====

Material: TaV2Si
Method: DFT, PBE
State: optimized geometry

abc: 7.0467 7.0467 5.5878
angles: 50.91 50.91 90.00
Element x y z (fractional)
1 Si 0.2500 0.7500 0.5000
2 Si 0.5000 0.5000 0.0000
3 V 0.5894 0.1250 0.2500
4 V 0.1606 0.6250 0.2500
5 V 0.8750 0.8394 0.7500
6 V 0.3750 0.4106 0.7500
7 Ta 0.7500 0.2500 0.5000
8 Ta 0.0000 0.0000 0.0000

Results
magnetic moment = 0.000 μB/atom
formation energy (no corrections) = 355 meV/atom
density = 8.2 g/cm3
space-group type = I-42d, No. 122

=====

Material: TaVSi
Method: DFT, PBE
State: optimized geometry

abc: 4.8835 4.8835 4.9689
angles: 104.68 104.68 118.96
Element x y z (fractional)
1 Ta 0.3386 0.6614 0.0000
2 Ta 0.6614 0.3386 0.0000
3 Si 0.7500 0.2500 0.5000
4 Si 0.2500 0.7500 0.5000
5 V 0.1639 0.1639 0.3279
6 V 0.8361 0.8361 0.6721

Results
magnetic moment = 0.000 μB/atom
formation energy (no corrections) = -440 meV/atom
density = 9.6 g/cm3
space-group type = Fmmm, No. 69